# 1
DFT (PBE) results for crystalline Sr2MgCu9 at its relaxed geometry.

Results
formation energy from the elements = 16 meV/atom
final energy = -3.469 eV/atom

Cell lengths 5.1849, 5.1849, 25.8066 Å; angles 90.00, 90.00, 120.00 degrees
Space group R-3m (No. 166, hexagonal axes)
Inequivalent atoms, fractional coordinates:
Sr (0.0000, 0.0000, 0.1361) (multiplicity 6)
Mg (0.0000, 0.0000, 0.0000) (multiplicity 3)
Cu (0.0000, 0.0000, 0.3321) (multiplicity 6)
Cu (0.0000, 0.0000, 0.5000) (multiplicity 3)
Cu (0.0030, 0.5015, 0.0770) (multiplicity 18)

=====

# 2
DFT (PBE) results for crystalline BaGeO3 at its relaxed geometry.

Results
final energy = -4.366 eV/atom

Cell lengths 4.566, 4.566, 4.566 Å; angles 90.00, 90.00, 90.00 degrees
Space group Pm-3m (No. 221)
Inequivalent atoms, fractional coordinates:
Ba (0.000, 0.000, 0.000) (multiplicity 1)
Ge (0.500, 0.500, 0.500) (multiplicity 1)
O (0.000, 0.000, 0.500) (multiplicity 3)

=====

# 3
DFT (PBE) results for crystalline Ac6YCd5 at its relaxed geometry.

Results
formation energy from the elements = -208 meV/atom
final energy = -3.182 eV/atom

Cell lengths 5.741, 8.267, 9.197 Å; angles 90.00, 108.20, 90.00 degrees
Space group P2/m (No. 10)
Inequivalent atoms, fractional coordinates:
Ac (0.000, 0.233, 0.000) (multiplicity 2)
Ac (0.330, 0.250, 0.658) (multiplicity 4)
Y (0.500, 0.500, 0.000) (multiplicity 1)
Cd (0.152, 0.500, 0.307) (multiplicity 2)
Cd (0.165, 0.000, 0.335) (multiplicity 2)
Cd (0.500, 0.000, 0.000) (multiplicity 1)

=====

# 4
DFT (PBE) results for crystalline LiPu2F8 at its relaxed geometry.

Results
final energy = -7.558 eV/atom

Cell lengths 10.686, 7.313, 4.130 Å; angles 90.00, 111.54, 90.00 degrees
Space group C2/m (No. 12)
Inequivalent atoms, fractional coordinates:
Li (0.000, 0.000, 0.000) (multiplicity 2)
Pu (0.184, 0.500, 0.428) (multiplicity 4)
F (0.062, 0.500, 0.809) (multiplicity 4)
F (0.124, 0.198, 0.359) (multiplicity 8)
F (0.197, 0.000, 0.948) (multiplicity 4)